[1]
Entry from Alexandria via LeMat-Bulk: Ta2ZnReF after structural relaxation (PBE).

a = 4.7666 Å, b = 4.7666 Å, c = 4.4692 Å
α = 90.00°, β = 90.00°, γ = 90.00°
Fractional positions:
1 Ta 0.0000 0.5000 0.0000
2 Ta 0.5000 0.0000 0.0000
3 Zn 0.0000 0.0000 0.0000
4 Re 0.0000 0.0000 0.5000
5 F 0.5000 0.5000 0.5000

Output
Uncorrected energy   -6.08 eV/atom
Calculated volume   101.5 Å³/cell
DOS(E_F)   7.09 states/eV per cell
Formation energy (no corrections)   1.78 eV per atom


[2]
Entry from Alexandria via LeMat-Bulk: Re3TcF after structural relaxation (PBE).

a = 4.1661 Å, b = 4.1661 Å, c = 4.1661 Å
α = 90.00°, β = 90.00°, γ = 90.00°
Fractional positions:
1 Re 0.0000 0.0000 0.5000
2 Re 0.0000 0.5000 0.0000
3 Re 0.5000 0.0000 0.0000
4 Tc 0.5000 0.5000 0.5000
5 F 0.0000 0.0000 0.0000

Output
Energy relative to the lowest polymorph listed for this composition   0.0000 eV per atom
Uncorrected energy   -8.64 eV/atom
Calculated volume   72.3 Å³/cell
DOS(E_F)   5.77 states/eV per cell
Formation energy (no corrections)   1.28 eV per atom


[3]
Entry from Alexandria via LeMat-Bulk: Re3TcF after structural relaxation (PBE).

a = 4.7150 Å, b = 4.7150 Å, c = 4.7150 Å
α = 90.00°, β = 90.00°, γ = 90.00°
Fractional positions:
1 Re 0.0000 0.0000 0.5000
2 Re 0.0000 0.5000 0.0000
3 Re 0.5000 0.0000 0.0000
4 Tc 0.0000 0.0000 0.0000
5 F 0.5000 0.5000 0.5000

Output
Energy relative to the lowest polymorph listed for this composition   0.9442 eV per atom
Uncorrected energy   -7.69 eV/atom
Calculated volume   104.8 Å³/cell
DOS(E_F)   4.46 states/eV per cell
Formation energy (no corrections)   2.22 eV per atom


[4]
Entry from Alexandria via LeMat-Bulk: ReTc2F after structural relaxation (PBE).

a = 4.2870 Å, b = 4.2870 Å, c = 4.2870 Å
α = 60.00°, β = 60.00°, γ = 60.00°
Fractional positions:
1 Re 0.0000 0.0000 0.0000
2 Tc 0.2500 0.2500 0.2500
3 Tc 0.7500 0.7500 0.7500
4 F 0.5000 0.5000 0.5000

Output
Energy relative to the lowest polymorph listed for this composition   0.0000 eV per atom
Uncorrected energy   -8.48 eV/atom
Calculated volume   55.7 Å³/cell
DOS(E_F)   5.72 states/eV per cell
Formation energy (no corrections)   0.29 eV per atom


[5]
Entry from Alexandria via LeMat-Bulk: ReTcF2 after structural relaxation (PBE).

a = 4.2489 Å, b = 4.2489 Å, c = 4.2489 Å
α = 60.00°, β = 60.00°, γ = 60.00°
Fractional positions:
1 Re 0.0000 0.0000 0.0000
2 Tc 0.5000 0.5000 0.5000
3 F 0.2500 0.2500 0.2500
4 F 0.7500 0.7500 0.7500

Output
Uncorrected energy   -5.96 eV/atom
Calculated volume   54.2 Å³/cell
DOS(E_F)   2.69 states/eV per cell
Formation energy (no corrections)   0.68 eV per atom


[6]
Entry from Alexandria via LeMat-Bulk: ReTc2F after structural relaxation (PBE).

a = 5.3101 Å, b = 5.3101 Å, c = 5.3101 Å
α = 107.11°, β = 107.11°, γ = 114.31°
Fractional positions:
1 Re 0.0000 0.0000 0.0000
2 Re 0.7500 0.2500 0.5000
3 Tc 0.1597 0.6250 0.0347
4 Tc 0.3750 0.4097 0.5347
5 Tc 0.5903 0.1250 0.9653
6 Tc 0.8750 0.8403 0.4653
7 F 0.2500 0.7500 0.5000
8 F 0.5000 0.5000 0.0000

Output
Energy relative to the lowest polymorph listed for this composition   0.1278 eV per atom
Uncorrected energy   -8.35 eV/atom
Calculated volume   114.6 Å³/cell
DOS(E_F)   6.37 states/eV per cell
Formation energy (no corrections)   0.41 eV per atom


- formation energy (no corrections) of number 6 (ReTc2F)?
  0.41 eV per atom